# 1
RbCuP3 | PBE | relaxed

Properties
VASP energy: -3.6718 eV per atom
density of states at the Fermi level: 0.68 states/eV per atom
V: 107.27 Å³ per cell
polymorph energy (0 for the lowest one): 0.0 kJ/mol of atoms
energy of formation from the pure elements: 13.53 kcal/mol of atoms

Structure (extended XYZ):
```
5
Lattice="-1.977 -4.310 -0.298 0.419 0.135 -4.731 4.300 -1.995 0.324" Properties=species:S:1:pos:R:3 pbc="T T T"
P 0.209 0.068 -2.366
P 2.150 -0.997 0.162
P -0.989 -2.155 -0.149
Cu 0.000 0.000 0.000
Rb 1.371 -3.085 -2.353
```



# 2
RbCuP | PBE | relaxed

Properties
VASP energy: -3.6844 eV per atom
V: 167.24 Å³ per cell
energy of formation from the pure elements: -4.45 kcal/mol of atoms

Structure (extended XYZ):
```
6
Lattice="3.855 0.000 1.750 1.371 6.278 2.101 -0.718 0.506 6.703" Properties=species:S:1:pos:R:3 pbc="T T T"
Rb 3.942 3.901 6.681
Rb 0.692 6.700 8.717
Cu 0.740 0.745 3.491
Cu 1.466 2.750 1.893
P 3.170 3.026 3.261
P 2.525 1.245 4.681
```



# 3
RbCu3P3 | PBE | relaxed

Properties
VASP energy: -4.2598 eV per atom
density of states at the Fermi level: 0.57 states/eV per atom
V: 273.47 Å³ per cell
energy of formation from the pure elements: -1.10 kcal/mol of atoms

Structure (extended XYZ):
```
14
Lattice="6.491 0.000 0.000 0.000 6.491 0.000 0.000 0.000 6.491" Properties=species:S:1:pos:R:3 pbc="T T T"
P 1.623 0.000 3.245
P 0.000 3.245 1.623
P 3.245 4.868 0.000
P 4.868 0.000 3.245
P 0.000 3.245 4.868
P 3.245 1.623 0.000
Cu 0.000 1.623 3.245
Cu 0.000 4.868 3.245
Cu 3.245 0.000 4.868
Cu 4.868 3.245 0.000
Cu 3.245 0.000 1.623
Cu 1.623 3.245 0.000
Rb 3.245 3.245 3.245
Rb 0.000 0.000 0.000
```



# 4
Rb3CuP | PBE | relaxed

Properties
VASP energy: -2.1932 eV per atom
density of states at the Fermi level: 0.53 states/eV per atom
V: 273.30 Å³ per cell
polymorph energy (0 for the lowest one): 0.0 kJ/mol of atoms
energy of formation from the pure elements: 6.65 kcal/mol of atoms

Structure (extended XYZ):
```
5
Lattice="-6.469 -0.434 0.274 0.426 -6.473 -0.177 0.285 -0.158 6.481" Properties=species:S:1:pos:R:3 pbc="T T T"
P 0.000 0.000 0.000
Cu -2.879 -3.533 3.289
Rb 0.213 -3.237 -0.088
Rb 0.143 -0.079 3.241
Rb -3.235 -0.217 0.137
```



# 5
RbCu2P | PBE | relaxed

Properties
VASP energy: -3.8348 eV per atom
density of states at the Fermi level: 0.00 states/eV per atom
V: 208.81 Å³ per cell
polymorph energy (0 for the lowest one): 0.0 kJ/mol of atoms
energy of formation from the pure elements: -4.44 kcal/mol of atoms

Structure (extended XYZ):
```
8
Lattice="5.495 0.000 0.000 0.000 5.495 0.000 2.747 2.747 6.916" Properties=species:S:1:pos:R:3 pbc="T T T"
P 2.747 2.747 0.000
P 2.747 5.495 3.458
Cu 2.747 1.374 1.729
Cu 2.747 4.121 1.729
Cu 4.121 5.495 5.187
Cu 6.868 5.495 5.187
Rb 0.000 0.000 0.000
Rb 5.495 2.747 3.458
```



# 6
RbCuP2 | PBE | relaxed

Properties
VASP energy: -3.1041 eV per atom
density of states at the Fermi level: 0.68 states/eV per atom
V: 81.76 Å³ per cell
polymorph energy (0 for the lowest one): 83.6 kJ/mol of atoms
energy of formation from the pure elements: 19.99 kcal/mol of atoms

Structure (extended XYZ):
```
4
Lattice="0.000 3.445 3.445 3.445 0.000 3.445 3.445 3.445 0.000" Properties=species:S:1:pos:R:3 pbc="T T T"
P 1.722 1.722 1.722
P 5.167 5.167 5.167
Cu 0.000 0.000 0.000
Rb 3.445 3.445 3.445
```



# 7
RbCuP | PBE | relaxed

Properties
VASP energy: -3.6707 eV per atom
density of states at the Fermi level: 0.33 states/eV per atom
V: 152.44 Å³ per cell
energy of formation from the pure elements: -4.14 kcal/mol of atoms

Structure (extended XYZ):
```
6
Lattice="4.117 0.000 0.000 2.059 5.324 -0.455 2.059 1.275 6.845" Properties=species:S:1:pos:R:3 pbc="T T T"
P 2.059 1.088 0.441
P 6.176 5.511 5.949
Cu 4.117 2.157 0.316
Cu 4.117 4.442 6.074
Rb 6.176 4.674 1.981
Rb 2.059 1.925 4.409
```



# 8
RbCu2P | PBE | relaxed

Properties
VASP energy: -3.7769 eV per atom
density of states at the Fermi level: 0.22 states/eV per atom
V: 90.23 Å³ per cell
polymorph energy (0 for the lowest one): 5.6 kJ/mol of atoms
energy of formation from the pure elements: -3.10 kcal/mol of atoms

Structure (extended XYZ):
```
4
Lattice="-1.484 -3.618 1.373 2.606 -2.946 1.307 0.095 0.061 6.519" Properties=species:S:1:pos:R:3 pbc="T T T"
P 0.000 0.000 0.000
Cu 0.363 -2.101 1.111
Cu 0.854 -4.403 8.088
Rb 0.609 -3.252 4.599
```